# 1
Below is a geometry-optimized Sr5Pt3 structure, with properties calculated at the PBE level.

Cell: 11.692 11.692 7.061 Å, 90.00 90.00 90.00°
Fractional positions:
1 Pt 0.153 0.153 0.750
2 Pt 0.500 0.000 0.374
3 Pt 0.000 0.500 0.626
4 Pt 0.653 0.347 0.750
5 Pt 0.500 0.000 0.874
6 Pt 0.653 0.653 0.250
7 Pt 0.153 0.847 0.250
8 Pt 0.347 0.653 0.750
9 Pt 0.347 0.347 0.250
10 Pt 0.847 0.847 0.750
11 Pt 0.847 0.153 0.250
12 Pt 0.000 0.500 0.126
13 Sr 0.089 0.706 0.883
14 Sr 0.589 0.794 0.617
15 Sr 0.294 0.089 0.117
16 Sr 0.294 0.911 0.617
17 Sr 0.206 0.589 0.383
18 Sr 0.411 0.794 0.117
19 Sr 0.794 0.589 0.883
20 Sr 0.411 0.206 0.617
21 Sr 0.500 0.500 0.500
22 Sr 0.911 0.706 0.383
23 Sr 0.706 0.911 0.117
24 Sr 0.206 0.411 0.883
25 Sr 0.089 0.294 0.383
26 Sr 0.911 0.294 0.883
27 Sr 0.589 0.206 0.117
28 Sr 0.000 0.000 0.500
29 Sr 0.500 0.500 0.000
30 Sr 0.794 0.411 0.383
31 Sr 0.000 0.000 0.000
32 Sr 0.706 0.089 0.617

## Properties
Total energy   -4.044 eV per atom

---

# 2
Below is a geometry-optimized Sr3Pt2 structure, with properties calculated at the PBE level.

Cell: 7.976 7.976 7.976 Å, 70.86 70.86 70.86°
Fractional positions:
1 Pt 0.913 0.543 0.342
2 Pt 0.543 0.342 0.913
3 Pt 0.342 0.913 0.543
4 Pt 0.658 0.087 0.457
5 Pt 0.457 0.658 0.087
6 Pt 0.087 0.457 0.658
7 Sr 0.300 0.300 0.300
8 Sr 0.832 0.345 0.102
9 Sr 0.700 0.700 0.700
10 Sr 0.102 0.832 0.345
11 Sr 0.168 0.655 0.898
12 Sr 0.898 0.168 0.655
13 Sr 0.345 0.102 0.832
14 Sr 0.655 0.898 0.168
15 Sr 0.500 0.500 0.500

## Properties
Relative energy among the computed polymorphs   3.7 meV per atom
Total energy   -4.186 eV per atom

---

# 3
Below is a geometry-optimized Sr3Pt11 structure, with properties calculated at the PBE level.

Cell: 8.308 8.308 8.308 Å, 148.55 107.76 80.90°
Fractional positions:
1 Sr 0.683 0.683 0.000
2 Sr 0.317 0.317 0.000
3 Sr 0.000 0.000 0.000
4 Pt 0.314 0.679 0.635
5 Pt 0.500 0.000 0.500
6 Pt 0.718 0.500 0.218
7 Pt 0.158 0.882 0.275
8 Pt 0.607 0.882 0.725
9 Pt 0.957 0.321 0.635
10 Pt 0.043 0.679 0.365
11 Pt 0.282 0.500 0.782
12 Pt 0.686 0.321 0.365
13 Pt 0.842 0.118 0.725
14 Pt 0.393 0.118 0.275

## Properties
Total energy   -5.524 eV per atom

---

# 4
Below is a geometry-optimized Sr3Pt structure, with properties calculated at the PBE level.

Cell: 7.397 7.397 7.075 Å, 90.00 90.00 120.00°
Fractional positions:
1 Sr 0.000 0.658 0.474
2 Sr 0.658 0.658 0.974
3 Sr 0.658 0.000 0.474
4 Sr 0.342 0.342 0.474
5 Sr 0.000 0.342 0.974
6 Sr 0.342 0.000 0.974
7 Pt 0.333 0.667 0.224
8 Pt 0.667 0.333 0.724

## Properties
Total energy   -3.324 eV per atom

---

# 5
Below is a geometry-optimized Sr3Pt2 structure, with properties calculated at the PBE level.

Cell: 8.013 8.013 8.013 Å, 71.23 71.23 71.23°
Fractional positions:
1 Sr 0.000 0.000 0.000
2 Sr 0.393 0.155 0.672
3 Sr 0.155 0.672 0.393
4 Sr 0.328 0.607 0.845
5 Sr 0.799 0.799 0.799
6 Sr 0.672 0.393 0.155
7 Sr 0.845 0.328 0.607
8 Sr 0.607 0.845 0.328
9 Sr 0.201 0.201 0.201
10 Pt 0.588 0.152 0.959
11 Pt 0.959 0.588 0.152
12 Pt 0.412 0.848 0.041
13 Pt 0.041 0.412 0.848
14 Pt 0.848 0.041 0.412
15 Pt 0.152 0.959 0.588

## Properties
Relative energy among the computed polymorphs   0.0 meV per atom
Total energy   -4.189 eV per atom

---

# 6
Below is a geometry-optimized Sr5Pt2 structure, with properties calculated at the PBE level.

Cell: 9.372 9.372 8.007 Å, 96.84 96.84 44.49°
Fractional positions:
1 Sr 0.572 0.428 0.750
2 Sr 0.203 0.365 0.182
3 Sr 0.797 0.635 0.818
4 Sr 0.195 0.987 0.916
5 Sr 0.987 0.195 0.416
6 Sr 0.013 0.805 0.584
7 Sr 0.365 0.203 0.682
8 Sr 0.635 0.797 0.318
9 Sr 0.805 0.013 0.084
10 Sr 0.428 0.572 0.250
11 Pt 0.400 0.823 0.582
12 Pt 0.600 0.177 0.418
13 Pt 0.177 0.600 0.918
14 Pt 0.823 0.400 0.082

## Properties
Total energy   -3.541 eV per atom

---

- Which of these has the highest total energy?
  Sr3Pt

---

- Look up the total energy of the third one.
  -5.524 eV per atom

---

- Which value of total energy does entry 1 give?
  -4.044 eV per atom